KReGe3 (PBE, relaxed); E = -13.98 eV for the cell shown; spin magnetization = 0.00 μB per formula unit; E above lowest polymorph = 2498 meV per atom; DOS at the Fermi energy = 11.176 states/eV per cell; ΔE_f = 2.68 eV/atom
1.0
-1.186 3.394 -3.501
-4.758 -1.593 0.067
-1.066 3.335 3.595
Re Ge K
1 3 1
Direct
0.500 0.500 0.500 Re
0.000 0.500 0.000 Ge
0.000 0.000 0.500 Ge
0.500 0.000 0.000 Ge
0.000 0.000 0.000 K

KReGe3 (PBE, relaxed); E = -26.47 eV for the cell shown; spin magnetization = 0.00 μB per formula unit; E above lowest polymorph = 0 meV per atom; DOS at the Fermi energy = 3.906 states/eV per cell; ΔE_f = 0.19 eV/atom
1.0
-4.257 2.326 -0.873
-1.999 -2.178 3.943
1.475 3.760 2.825
Re Ge K
1 3 1
Direct
0.000 0.000 0.000 Re
0.000 0.500 0.000 Ge
0.000 0.000 0.500 Ge
0.500 0.000 0.000 Ge
0.500 0.500 0.500 K

KRe2Ge (PBE, relaxed); E = -51.20 eV for the cell shown; spin magnetization = 0.00 μB per formula unit; DOS at the Fermi energy = 7.489 states/eV per cell; ΔE_f = 1.25 eV/atom
1.0
-0.886 -2.051 4.224
3.774 -2.869 -0.602
6.716 3.622 5.870
Re Ge K
4 2 2
Direct
0.914 0.125 0.250 Re
0.836 0.625 0.250 Re
0.375 0.086 0.750 Re
0.875 0.164 0.750 Re
0.000 0.000 0.000 Ge
0.750 0.250 0.500 Ge
0.500 0.500 0.000 K
0.250 0.750 0.500 K

K2Re2Ge (PBE, relaxed); E = -27.40 eV for the cell shown; spin magnetization = 0.00 μB per formula unit; E above lowest polymorph = 0 meV per atom; DOS at the Fermi energy = 4.431 states/eV per cell; ΔE_f = 0.86 eV/atom
1.0
3.494 0.000 0.000
0.000 3.494 0.000
1.747 1.747 11.655
Re Ge K
2 1 2
Direct
0.750 0.250 0.500 Re
0.250 0.750 0.500 Re
0.000 0.000 0.000 Ge
0.387 0.387 0.226 K
0.613 0.613 0.774 K

K2ReGe (PBE, relaxed); E = -31.14 eV for the cell shown; spin magnetization = 2.29 μB per formula unit; DOS at the Fermi energy = 7.155 states/eV per cell; ΔE_f = 0.92 eV/atom
1.0
13.034 0.000 0.000
0.000 13.034 0.000
6.517 6.517 2.379
Re Ge K
2 2 4
Direct
0.000 0.000 0.000 Re
0.750 0.250 0.500 Re
0.500 0.500 0.000 Ge
0.250 0.750 0.500 Ge
0.400 0.125 0.250 K
0.350 0.625 0.250 K
0.375 0.600 0.750 K
0.875 0.650 0.750 K

KRe3Ge (PBE, relaxed); E = -32.62 eV for the cell shown; spin magnetization = 0.00 μB per formula unit; E above lowest polymorph = 0 meV per atom; DOS at the Fermi energy = 11.330 states/eV per cell; ΔE_f = 2.09 eV/atom
1.0
-3.504 2.671 1.669
-3.007 -3.579 -0.585
0.936 -1.500 4.367
Re Ge K
3 1 1
Direct
0.000 0.500 0.000 Re
0.000 0.000 0.500 Re
0.500 0.000 0.000 Re
0.000 0.000 0.000 Ge
0.500 0.500 0.500 K

K2Re2Ge (PBE, relaxed); E = -50.36 eV for the cell shown; spin magnetization = 0.00 μB per formula unit; E above lowest polymorph = 444 meV per atom; DOS at the Fermi energy = 7.008 states/eV per cell; ΔE_f = 1.31 eV/atom
1.0
10.371 0.000 0.000
0.000 10.371 0.000
0.000 0.000 2.691
Re Ge K
4 2 4
Direct
0.075 0.575 0.500 Re
0.575 0.925 0.500 Re
0.925 0.425 0.500 Re
0.425 0.075 0.500 Re
0.000 0.000 0.000 Ge
0.500 0.500 0.000 Ge
0.293 0.793 0.000 K
0.793 0.707 0.000 K
0.707 0.207 0.000 K
0.207 0.293 0.000 K

KRe3Ge (PBE, relaxed); E = -23.56 eV for the cell shown; spin magnetization = 2.75 μB per formula unit; E above lowest polymorph = 1811 meV per atom; DOS at the Fermi energy = 9.237 states/eV per cell; ΔE_f = 3.90 eV/atom
1.0
4.599 0.000 0.000
0.000 4.599 0.000
0.000 0.000 4.599
Re Ge K
3 1 1
Direct
0.000 0.500 0.000 Re
0.000 0.000 0.500 Re
0.500 0.000 0.000 Re
0.500 0.500 0.500 Ge
0.000 0.000 0.000 K

K3ReGe (PBE, relaxed); E = -12.78 eV for the cell shown; spin magnetization = 6.00 μB per formula unit; E above lowest polymorph = 0 meV per atom; DOS at the Fermi energy = 5.833 states/eV per cell; ΔE_f = 1.52 eV/atom
1.0
6.455 0.000 0.000
0.000 6.455 0.000
0.000 0.000 6.455
Re Ge K
1 1 3
Direct
0.500 0.500 0.500 Re
0.000 0.000 0.000 Ge
0.000 0.500 0.000 K
0.000 0.000 0.500 K
0.500 0.000 0.000 K

KScRe2Ge (PBE, relaxed); E = -29.92 eV for the cell shown; spin magnetization = 0.32 μB per formula unit; DOS at the Fermi energy = 6.368 states/eV per cell; ΔE_f = 1.41 eV/atom
1.0
4.684 0.000 0.000
0.000 4.684 0.000
0.000 0.000 5.234
Sc Re Ge K
1 2 1 1
Direct
0.500 0.500 0.500 Sc
0.000 0.500 0.000 Re
0.500 0.000 0.000 Re
0.000 0.000 0.000 Ge
0.000 0.000 0.500 K

KReTc2Ge (PBE, relaxed); E = -22.60 eV for the cell shown; spin magnetization = 0.00 μB per formula unit; DOS at the Fermi energy = 10.718 states/eV per cell; ΔE_f = 3.26 eV/atom
1.0
4.389 0.000 0.000
0.000 4.389 0.000
0.000 0.000 4.843
K Re Ge Tc
1 1 1 2
Direct
0.000 0.000 0.000 K
0.500 0.500 0.500 Re
0.000 0.000 0.500 Ge
0.000 0.500 0.000 Tc
0.500 0.000 0.000 Tc

K2VReGe (PBE, relaxed); E = -20.29 eV for the cell shown; spin magnetization = 2.68 μB per formula unit; DOS at the Fermi energy = 7.935 states/eV per cell; ΔE_f = 1.62 eV/atom
1.0
6.430 0.000 0.000
0.000 4.742 0.000
0.000 0.000 6.430
Re Ge K V
1 1 2 1
Direct
0.000 0.000 0.000 Re
0.000 0.500 0.000 Ge
0.000 0.000 0.500 K
0.500 0.000 0.000 K
0.500 0.500 0.500 V

Question: Which of these has the lowest DOS at the Fermi energy?
Answer: number 2